No. 1
Computed, not measured: an optimized crystal structure of Sm3ZnHg4 at the PBE-GGA level of DFT.

Results
For the formation energy, the calculation gives -0.278 eV per atom. The density of states at the Fermi level comes out at 0.608 states/eV/atom. The calculated density comes out at 9.91 g cm⁻³. Its space group is Immm, No. 71. Its total energy is -2.36 eV/atom.

a = 3.720 Å, b = 6.854 Å, c = 9.506 Å
α = 111.13°, β = 101.28°, γ = 90.00°
Positions (direct):
Sm1 0.226 0.226 0.453
Sm2 0.774 0.774 0.547
Sm3 0.000 0.500 0.000
Zn1 0.500 0.000 0.000
Hg1 0.380 0.143 0.760
Hg2 0.620 0.857 0.240
Hg3 0.620 0.383 0.240
Hg4 0.380 0.617 0.760

No. 2
Computed, not measured: an optimized crystal structure of Ba3Hg8Sb3 at the PBE-GGA level of DFT.

Results
As for the uncorrected formation energy: -5.8 eV/f.u. The density of states at the Fermi level comes out at 0.463 states/eV/atom. The calculated density comes out at 8.35 g cm⁻³. Its space group is C2/m, No. 12. Its total energy is -1.88 eV/atom.

a = 5.269 Å, b = 8.525 Å, c = 11.416 Å
α = 83.21°, β = 76.66°, γ = 72.00°
Positions (direct):
Ba1 0.324 0.708 0.643
Ba2 0.676 0.292 0.357
Ba3 0.000 0.000 0.000
Hg1 0.127 0.154 0.593
Hg2 0.873 0.846 0.407
Hg3 0.891 0.431 0.786
Hg4 0.109 0.569 0.214
Hg5 0.591 0.688 0.129
Hg6 0.409 0.312 0.871
Hg7 0.354 0.963 0.330
Hg8 0.646 0.037 0.670
Sb1 0.000 0.500 0.500
Sb2 0.680 0.775 0.865
Sb3 0.320 0.225 0.135

No. 3
Computed, not measured: an optimized crystal structure of ZrTePd3 at the PBE-GGA level of DFT.

Results
As for the uncorrected formation energy: 1.6 eV/f.u. As for the distance to the lowest polymorph of the same formula: 0.00 eV per formula unit. The density of states at the Fermi level comes out at 1.075 states/eV/atom. The calculated density comes out at 7.65 g cm⁻³. Its space group is Pm-3m, No. 221. Its total energy is -5.13 eV/atom.

a = 4.887 Å, b = 4.887 Å, c = 4.887 Å
α = 90.00°, β = 90.00°, γ = 90.00°
Last column: magnetic moment on the atom in μB.
Positions (direct):
Te1 0.000 0.000 0.000  -0.01
Zr1 0.500 0.500 0.500  0.96
Pd1 0.000 0.500 0.000  -0.01
Pd2 0.000 0.000 0.500  0.02
Pd3 0.500 0.000 0.000  0.00

No. 4
Computed, not measured: an optimized crystal structure of CaCdH8Pt2 at the PBE-GGA level of DFT.

Results
The density of states at the Fermi level comes out at 0.306 states/eV/atom. The calculated density comes out at 7.34 g cm⁻³. Its space group is R-3, No. 148. Its total energy is -3.51 eV/atom.

a = 4.974 Å, b = 4.974 Å, c = 6.487 Å
α = 67.46°, β = 67.46°, γ = 60.00°
Positions (direct):
Ca1 0.500 0.500 0.500
Cd1 0.000 0.000 0.000
H1 0.176 0.176 0.473
H2 0.588 0.287 0.209
H3 0.824 0.824 0.527
H4 0.916 0.588 0.209
H5 0.084 0.412 0.791
H6 0.287 0.916 0.209
H7 0.713 0.084 0.791
H8 0.412 0.713 0.791
Pt1 0.266 0.266 0.201
Pt2 0.734 0.734 0.799

No. 5
Computed, not measured: an optimized crystal structure of La3Cd8In3 at the PBE-GGA level of DFT.

Results
For the formation energy, the calculation gives -0.322 eV per atom. The density of states at the Fermi level comes out at 0.572 states/eV/atom. The calculated density comes out at 7.53 g cm⁻³. Its space group is Immm, No. 71. Its total energy is -2.49 eV/atom.

a = 4.841 Å, b = 9.175 Å, c = 9.175 Å
α = 71.89°, β = 74.70°, γ = 74.70°
Positions (direct):
La1 0.500 0.500 0.500
La2 0.810 0.190 0.190
La3 0.190 0.810 0.810
Cd1 0.644 0.082 0.630
Cd2 0.356 0.918 0.370
Cd3 0.644 0.630 0.082
Cd4 0.356 0.370 0.918
Cd5 0.839 0.790 0.533
Cd6 0.161 0.210 0.467
Cd7 0.839 0.533 0.790
Cd8 0.161 0.467 0.210
In1 0.500 0.000 0.000
In2 0.000 0.796 0.204
In3 0.000 0.204 0.796

No. 6
Computed, not measured: an optimized crystal structure of RbAlSe2 at the PBE-GGA level of DFT.

Results
As for the uncorrected formation energy: -3.9 eV/f.u. The density of states at the Fermi level comes out at 0.000 states/eV/atom. The calculated density comes out at 3.97 g cm⁻³. Its space group is Pnma, No. 62. Its total energy is -3.90 eV/atom.

a = 7.435 Å, b = 5.396 Å, c = 11.280 Å
α = 90.00°, β = 90.00°, γ = 90.00°
Positions (direct):
Se1 0.918 0.250 0.429
Se2 0.582 0.750 0.929
Se3 0.082 0.750 0.571
Se4 0.418 0.250 0.071
Se5 0.362 0.250 0.695
Se6 0.138 0.750 0.195
Se7 0.638 0.750 0.305
Se8 0.862 0.250 0.805
Rb1 0.376 0.250 0.375
Rb2 0.124 0.750 0.875
Rb3 0.624 0.750 0.625
Rb4 0.876 0.250 0.125
Al1 0.043 0.250 0.626
Al2 0.457 0.750 0.126
Al3 0.957 0.750 0.374
Al4 0.543 0.250 0.874

No. 7
Computed, not measured: an optimized crystal structure of GdPuTlCd at the PBE-GGA level of DFT.

Results
For the formation energy, the calculation gives -0.168 eV per atom. The density of states at the Fermi level comes out at 2.385 states/eV/atom. The calculated density comes out at 10.83 g cm⁻³. Its space group is F-43m, No. 216. Its total energy is -8.09 eV/atom.

a = 5.379 Å, b = 5.379 Å, c = 5.379 Å
α = 60.00°, β = 60.00°, γ = 60.00°
Last column: magnetic moment on the atom in μB.
Positions (direct):
Cd1 0.000 0.000 0.000  0.03
Tl1 0.500 0.500 0.500  -0.02
Gd1 0.750 0.750 0.750  7.27
Pu1 0.250 0.250 0.250  5.52

No. 8
Computed, not measured: an optimized crystal structure of Ho2Be15Ni2 at the PBE-GGA level of DFT.

Results
For the formation energy, the calculation gives -0.210 eV per atom. The density of states at the Fermi level comes out at 0.411 states/eV/atom. The calculated density comes out at 4.88 g cm⁻³. Its space group is R-3m, No. 166. Its total energy is -4.24 eV/atom.

a = 5.870 Å, b = 5.870 Å, c = 5.870 Å
α = 82.93°, β = 82.93°, γ = 82.93°
Positions (direct):
Ho1 0.342 0.342 0.342
Ho2 0.658 0.658 0.658
Be1 0.500 0.000 0.000
Be2 0.000 0.000 0.500
Be3 0.000 0.500 0.000
Be4 0.000 0.725 0.275
Be5 0.725 0.275 0.000
Be6 0.275 0.000 0.725
Be7 0.275 0.725 0.000
Be8 0.725 0.000 0.275
Be9 0.000 0.275 0.725
Be10 0.153 0.665 0.665
Be11 0.665 0.665 0.153
Be12 0.665 0.153 0.665
Be13 0.847 0.335 0.335
Be14 0.335 0.335 0.847
Be15 0.335 0.847 0.335
Ni1 0.104 0.104 0.104
Ni2 0.896 0.896 0.896

No. 9
Computed, not measured: an optimized crystal structure of TaHgRh2 at the PBE-GGA level of DFT.

Results
For the formation energy, the calculation gives 0.178 eV per atom. The density of states at the Fermi level comes out at 1.296 states/eV/atom. The calculated density comes out at 14.61 g cm⁻³. Its space group is F-43m, No. 216. Its total energy is -6.54 eV/atom.

a = 4.553 Å, b = 4.553 Å, c = 4.553 Å
α = 60.00°, β = 60.00°, γ = 60.00°
Positions (direct):
Ta1 0.750 0.750 0.750
Hg1 0.500 0.500 0.500
Rh1 0.000 0.000 0.000
Rh2 0.250 0.250 0.250

No. 10
Computed, not measured: an optimized crystal structure of TaNb14Al at the PBE-GGA level of DFT.

Results
For the formation energy, the calculation gives -0.058 eV per atom. The density of states at the Fermi level comes out at 1.135 states/eV/atom. The calculated density comes out at 8.63 g cm⁻³. Its space group is P4/mmm, No. 123. Its total energy is -9.84 eV/atom.

a = 6.619 Å, b = 6.619 Å, c = 6.622 Å
α = 90.00°, β = 90.00°, γ = 90.00°
Positions (direct):
Ta1 0.375 0.375 0.500
Nb1 0.875 0.875 0.000
Nb2 0.375 0.375 0.000
Nb3 0.875 0.375 0.500
Nb4 0.875 0.375 0.000
Nb5 0.375 0.875 0.500
Nb6 0.375 0.875 0.000
Nb7 0.623 0.127 0.248
Nb8 0.623 0.127 0.752
Nb9 0.127 0.623 0.248
Nb10 0.127 0.623 0.752
Nb11 0.623 0.623 0.248
Nb12 0.623 0.623 0.752
Nb13 0.127 0.127 0.248
Nb14 0.127 0.127 0.752
Al1 0.875 0.875 0.500

No. 11
Computed, not measured: an optimized crystal structure of DyTmMnRh at the PBE-GGA level of DFT.

Results
For the formation energy, the calculation gives -0.304 eV per atom. The density of states at the Fermi level comes out at 1.167 states/eV/atom. The calculated density comes out at 9.90 g cm⁻³. Its space group is F-43m, No. 216. Its total energy is -6.70 eV/atom.

a = 4.877 Å, b = 4.877 Å, c = 4.877 Å
α = 60.00°, β = 60.00°, γ = 60.00°
Last column: magnetic moment on the atom in μB.
Positions (direct):
Tm1 0.750 0.750 0.750  -0.20
Rh1 0.000 0.000 0.000  0.19
Mn1 0.500 0.500 0.500  3.28
Dy1 0.250 0.250 0.250  -0.19

No. 12
Computed, not measured: an optimized crystal structure of Ba2NaZn2Ag5 at the PBE-GGA level of DFT.

Results
For the formation energy, the calculation gives -0.094 eV per atom. The density of states at the Fermi level comes out at 0.410 states/eV/atom. The calculated density comes out at 6.22 g cm⁻³. Its space group is P4/mbm, No. 127. Its total energy is -2.29 eV/atom.

a = 4.142 Å, b = 11.172 Å, c = 11.172 Å
α = 90.00°, β = 90.00°, γ = 90.00°
Positions (direct):
Ba1 0.000 0.684 0.184
Ba2 0.000 0.316 0.816
Ba3 0.000 0.184 0.316
Ba4 0.000 0.816 0.684
Na1 0.000 0.000 0.000
Na2 0.000 0.500 0.500
Zn1 0.000 0.110 0.610
Zn2 0.000 0.890 0.390
Zn3 0.000 0.610 0.890
Zn4 0.000 0.390 0.110
Ag1 0.500 0.227 0.059
Ag2 0.500 0.773 0.941
Ag3 0.500 0.059 0.773
Ag4 0.500 0.727 0.441
Ag5 0.500 0.941 0.227
Ag6 0.500 0.273 0.559
Ag7 0.500 0.559 0.727
Ag8 0.500 0.441 0.273
Ag9 0.500 0.500 0.000
Ag10 0.500 0.000 0.500

No. 13
Computed, not measured: an optimized crystal structure of SbAs2Pd7 at the PBE-GGA level of DFT.

Results
As for the uncorrected formation energy: -3.8 eV/f.u. As for the distance to the lowest polymorph of the same formula: 0.00 eV per formula unit. The density of states at the Fermi level comes out at 0.627 states/eV/atom. The calculated density comes out at 9.91 g cm⁻³. Its space group is I4/mmm, No. 139. Its total energy is -5.35 eV/atom.

a = 4.113 Å, b = 4.113 Å, c = 10.477 Å
α = 101.32°, β = 101.32°, γ = 90.00°
Positions (direct):
Sb1 0.000 0.000 0.000
As1 0.673 0.673 0.346
As2 0.327 0.327 0.654
Pd1 0.101 0.601 0.203
Pd2 0.399 0.899 0.797
Pd3 0.601 0.101 0.203
Pd4 0.500 0.500 0.000
Pd5 0.750 0.250 0.500
Pd6 0.899 0.399 0.797
Pd7 0.250 0.750 0.500

No. 14
Computed, not measured: an optimized crystal structure of GdDyAl2 at the PBE-GGA level of DFT.

Results
For the formation energy, the calculation gives -0.400 eV per atom. As for the distance to the lowest polymorph of the same formula: 0.00 eV per formula unit. The density of states at the Fermi level comes out at 0.416 states/eV/atom. The calculated density comes out at 6.57 g cm⁻³. Its space group is P4/mmm, No. 123. Its total energy is -6.94 eV/atom.

a = 3.607 Å, b = 3.607 Å, c = 7.264 Å
α = 90.00°, β = 90.00°, γ = 90.00°
Last column: magnetic moment on the atom in μB.
Positions (direct):
Gd1 0.500 0.500 0.500  7.07
Al1 0.000 0.000 0.755  -0.02
Al2 0.000 0.000 0.245  -0.02
Dy1 0.500 0.500 0.000  -0.08

No. 15
Computed, not measured: an optimized crystal structure of RbNpCl6 at the PBE-GGA level of DFT.

Results
As for the uncorrected formation energy: -12.9 eV/f.u. As for the distance to the lowest polymorph of the same formula: 0.18 eV per formula unit. The density of states at the Fermi level comes out at 1.005 states/eV/atom. The calculated density comes out at 3.01 g cm⁻³. Its space group is R-3m, No. 166. Its total energy is -4.74 eV/atom.

a = 7.191 Å, b = 7.191 Å, c = 7.795 Å
α = 62.53°, β = 62.53°, γ = 60.00°
Last column: magnetic moment on the atom in μB.
Positions (direct):
Rb1 0.500 0.500 0.500  0.00
Np1 0.000 0.000 0.000  2.41
Cl1 0.910 0.910 0.777  -0.06
Cl2 0.403 0.910 0.777  -0.06
Cl3 0.090 0.597 0.223  -0.06
Cl4 0.597 0.090 0.223  -0.06
Cl5 0.090 0.090 0.223  -0.06
Cl6 0.910 0.403 0.777  -0.06